! PBE Pm6Ho3Er2, optimized geometry; values from VASP
! crystal system	tetragonal
! distance to the lowest polymorph of the same formula	0.283	eV per atom
! SG	I4/mmm, No. 139
! energy relative to the elements	0.2984	eV/atom
&SYSTEM
  ibrav = 0, nat = 11, ntyp = 3
/
ATOMIC_SPECIES
Ho 164.93 Ho.upf
Pm 145.00 Pm.upf
Er 167.26 Er.upf
ATOMIC_POSITIONS crystal
Ho 0.1975 0.1975 0.3949
Pm 0.1201 0.6201 0.2402
Ho 0.0000 0.0000 0.0000
Ho 0.8025 0.8025 0.6051
Pm 0.8799 0.3799 0.7598
Er 0.4547 0.4547 0.9094
Pm 0.3799 0.8799 0.7598
Pm 0.2999 0.2999 0.5998
Er 0.5453 0.5453 0.0906
Pm 0.7001 0.7001 0.4002
Pm 0.6201 0.1201 0.2402
CELL_PARAMETERS angstrom
-0.9677 2.8407 -3.6940
-2.4765 -3.5094 -2.0500
-12.1783 5.6353 10.5899